Record 1
{
  "formula": "ZrMnCr3",
  "functional": "PBE-GGA",
  "state": "relaxed",
  "lattice": [[4.271, 0.000, 0.000], [0.000, 4.271, 0.000], [0.000, 0.000, 4.271]],
  "species": ["Zr", "Mn", "Cr", "Cr", "Cr"],
  "fractional_positions": [[0.000, 0.000, 0.000], [0.500, 0.500, 0.500], [0.000, 0.500, 0.500], [0.500, 0.000, 0.500], [0.500, 0.500, 0.000]],
  "delta_e_f_ev_per_atom": 0.689
}



Record 2
{
  "formula": "KH2N",
  "functional": "PBE-GGA",
  "state": "relaxed",
  "lattice": [[4.616, 0.000, 0.000], [0.000, 3.818, 0.000], [-0.586, 0.000, 6.291]],
  "species": ["K", "K", "H", "H", "H", "H", "N", "N"],
  "fractional_positions": [[0.225, 0.250, 0.313], [0.775, 0.750, 0.687], [0.298, 0.042, 0.863], [0.298, 0.458, 0.863], [0.702, 0.542, 0.137], [0.702, 0.958, 0.137], [0.275, 0.250, 0.758], [0.725, 0.750, 0.242]],
  "total_energy_ev_per_atom": -4.4027
}



Record 3
{
  "formula": "CdGePd3",
  "functional": "PBE-GGA",
  "state": "relaxed",
  "lattice": [[4.938, 0.000, 0.000], [0.000, 4.938, 0.000], [0.000, 0.000, 4.938]],
  "species": ["Cd", "Ge", "Pd", "Pd", "Pd"],
  "fractional_positions": [[0.000, 0.000, 0.000], [0.500, 0.500, 0.500], [0.000, 0.000, 0.500], [0.000, 0.500, 0.000], [0.500, 0.000, 0.000]],
  "delta_e_f_ev_per_atom": 0.875
}



no.,spin magnetization (μB/atom),volume (Å³/f.u.)
1,0.610,77.93
2,0.000,55.44
3,0.000,120.43